Record 1
Material: Er3ThP4
Method: DFT, PBE
State: optimized geometry

Output
magnetic moment	0.00	μB/atom
space group	Cmmm
energy	-6.950	eV/atom

abc: 4.0238 6.9497 6.9496
angles: 70.53 90.00 90.00
With the nearest neighbours (Å) after each atom.
Atoms (fractional coordinates):
P: 0.0000 0.7569 0.7432  4 Er 2.80-2.84, 2 Th 2.88
P: 0.5000 0.7530 0.2528  5 Er 2.81-2.84, 1 Th 2.87
P: 0.0000 0.2433 0.2567  4 Er 2.80-2.84, 2 Th 2.88
P: 0.4999 0.2472 0.7472  5 Er 2.81-2.84, 1 Th 2.87
Th: 0.4999 0.5001 0.0000  6 P 2.87-2.88
Er: 0.5000 0.0001 0.5000  6 P 2.80-2.81
Er: 0.0000 0.0001 0.0000  6 P 2.84
Er: 0.0000 0.5001 0.5000  6 P 2.84


Record 2
Material: ErTmTh2P4
Method: DFT, PBE
State: optimized geometry

Output
magnetic moment	0.00	μB/atom
space group	P2/m
energy	-7.264	eV/atom

abc: 4.0664 6.9762 7.0457
angles: 70.27 90.00 90.00
With the nearest neighbours (Å) after each atom.
Atoms (fractional coordinates):
Er: 0.5000 0.5000 0.0000  6 P 2.83
Tm: 0.0000 0.5000 0.5000  6 P 2.82
Th: 0.0000 0.0000 0.0000  6 P 2.91
Th: 0.5000 0.0000 0.5000  6 P 2.90-2.91
P: 0.0000 0.7394 0.7531  1 Tm 2.82, 2 Er 2.83, 3 Th 2.90-2.91
P: 0.0000 0.2606 0.2469  1 Tm 2.82, 2 Er 2.83, 3 Th 2.90-2.91
P: 0.5000 0.7390 0.2543  2 Tm 2.82, 1 Er 2.83, 3 Th 2.91
P: 0.5000 0.2610 0.7457  2 Tm 2.82, 1 Er 2.83, 3 Th 2.91


Record 3
Material: ErTm2ThP4
Method: DFT, PBE
State: optimized geometry

Output
magnetic moment	0.00	μB/atom
space group	P2/m
energy	-6.922	eV/atom

abc: 4.0138 6.9293 6.9333
angles: 70.51 90.00 90.00
With the nearest neighbours (Å) after each atom.
Atoms (fractional coordinates):
Er: 0.0000 0.5000 0.5000  6 P 2.84
Tm: 0.0000 0.0000 0.0000  6 P 2.83
Tm: 0.5000 0.0000 0.5000  6 P 2.79
Th: 0.5000 0.5000 0.0000  6 P 2.87-2.88
P: 0.0000 0.7582 0.7426  3 Tm 2.79-2.83, 1 Er 2.84, 2 Th 2.88
P: 0.0000 0.2418 0.2574  3 Tm 2.79-2.83, 1 Er 2.84, 2 Th 2.88
P: 0.5000 0.7542 0.2525  3 Tm 2.79-2.83, 2 Er 2.84, 1 Th 2.87
P: 0.5000 0.2458 0.7475  3 Tm 2.79-2.83, 2 Er 2.84, 1 Th 2.87


Record 4
Material: Er3TmTh2P6
Method: DFT, PBE
State: optimized geometry

Output
magnetic moment	0.00	μB/atom
space group	C2/m
energy	-7.046	eV/atom

abc: 4.0379 8.0399 9.0013
angles: 102.79 102.96 90.00
With the nearest neighbours (Å) after each atom.
Atoms (fractional coordinates):
Er: 0.5000 0.5000 0.0000  6 P 2.81-2.86
Er: 0.8338 0.1658 0.6675  6 P 2.80-2.87
Er: 0.1662 0.8342 0.3325  6 P 2.80-2.87
Tm: 0.5000 0.0000 0.0000  6 P 2.83-2.84
Th: 0.8355 0.6705 0.6709  6 P 2.86-2.92
Th: 0.1645 0.3295 0.3291  6 P 2.86-2.92
P: 0.3341 0.9246 0.6682  3 Er 2.80-2.87, 1 Tm 2.83, 2 Th 2.88
P: 0.6647 0.5886 0.3294  3 Er 2.81-2.82, 3 Th 2.90-2.92
P: 0.6659 0.0754 0.3318  3 Er 2.80-2.87, 1 Tm 2.83, 2 Th 2.88
P: 0.9974 0.2476 0.9948  3 Er 2.80-2.86, 2 Tm 2.84, 1 Th 2.86
P: 0.0026 0.7524 0.0052  3 Er 2.80-2.86, 2 Tm 2.84, 1 Th 2.86
P: 0.3353 0.4114 0.6706  3 Er 2.81-2.82, 3 Th 2.90-2.92


| no. | energy of formation (eV per atom) |
| --- | --- |
| 1 | -1.606 |
| 2 | -1.575 |
| 3 | -1.601 |
| 4 | -1.591 |